Record 1
Here is a relaxed TlFe3S5 crystal from OQMD. Energies are from PBE.

```
TlFe3S5
1.0
9.268 -1.680 0.000
9.268 1.680 0.000
-6.068 0.000 9.606
Fe S Tl
6 10 2
direct
0.500 0.500 0.000
0.992 0.992 0.222
0.153 0.153 0.382
0.500 0.500 0.500
0.847 0.847 0.618
0.008 0.008 0.778
0.414 0.414 0.088
0.084 0.084 0.148
0.928 0.928 0.346
0.741 0.741 0.388
0.579 0.579 0.400
0.421 0.421 0.600
0.259 0.259 0.612
0.072 0.072 0.654
0.916 0.916 0.852
0.586 0.586 0.912
0.261 0.261 0.178
0.739 0.739 0.822
```

Output
Energy in eV per formula unit: -51.2
Space group: C2/m, No. 12

***

Record 2
Here is a relaxed Al2ZnAg2 crystal from OQMD. Energies are from PBE.

```
Al2ZnAg2
1.0
-1.926 1.926 6.439
1.926 -1.926 6.439
1.926 1.926 -6.439
Ag Al Zn
2 2 1
direct
0.750 0.250 0.500
0.250 0.750 0.500
0.402 0.402 0.000
0.598 0.598 0.000
0.000 0.000 0.000
```

Output
Energy in eV per formula unit: -13.5
Space group: I4/mmm, No. 139

***

Record 3
Here is a relaxed GdSi3Ir crystal from OQMD. Energies are from PBE.

```
GdSi3Ir
1.0
-2.108 2.108 4.898
2.108 -2.108 4.898
2.108 2.108 -4.898
Gd Ir Si
1 1 3
direct
0.999 0.999 0.000
0.653 0.653 0.000
0.415 0.415 0.000
0.765 0.265 0.500
0.265 0.765 0.500
```

Output
Energy in eV per formula unit: -33.8
Space group: I4mm, No. 107

***

Record 4
Here is a relaxed ErCuPt crystal from OQMD. Energies are from PBE.

```
ErCuPt
1.0
3.514 -0.496 2.822
0.259 2.517 3.762
-0.607 -1.923 4.060
Cu Er Pt
1 1 1
direct
0.250 0.250 0.250
0.000 0.000 0.000
0.750 0.750 0.750
```

Output
Energy in eV per formula unit: -15.2
Space group: F-43m, No. 216
Formation energy in meV per atom: -278

***

Record 5
Here is a relaxed SrTlCd crystal from OQMD. Energies are from PBE.

```
SrTlCd
1.0
5.294 -1.005 -0.215
2.671 -1.356 4.484
1.816 -5.037 0.637
Cd Sr Tl
1 1 1
direct
0.250 0.250 0.250
0.000 0.000 0.000
0.750 0.750 0.750
```

Output
Energy in eV per formula unit: -4.7
Space group: F-43m, No. 216

***

Record 6
Here is a relaxed SmAsAu crystal from OQMD. Energies are from PBE.

```
SmAsAu
1.0
0.000 3.350 3.350
3.350 0.000 3.350
3.350 3.350 0.000
As Au Sm
1 1 1
direct
0.250 0.250 0.250
0.000 0.000 0.000
0.750 0.750 0.750
```

Output
Energy in eV per formula unit: -14.7
Space group: F-43m, No. 216

***

Record 7
Here is a relaxed YAgTe3Pb crystal from OQMD. Energies are from PBE.

```
YAgTe3Pb
1.0
12.482 0.000 0.000
0.000 4.528 0.000
0.000 0.000 12.756
Ag Pb Te Y
4 4 12 4
direct
0.737 0.250 0.205
0.237 0.250 0.295
0.763 0.750 0.705
0.263 0.750 0.795
0.692 0.750 0.019
0.192 0.750 0.481
0.808 0.250 0.519
0.308 0.250 0.981
0.909 0.250 0.063
0.527 0.250 0.135
0.279 0.750 0.171
0.779 0.750 0.329
0.027 0.250 0.365
0.409 0.250 0.437
0.591 0.750 0.563
0.973 0.750 0.635
0.221 0.250 0.671
0.721 0.250 0.829
0.473 0.750 0.865
0.091 0.750 0.937
0.025 0.750 0.190
0.525 0.750 0.310
0.475 0.250 0.690
0.975 0.250 0.810
```

Output
Energy in eV per formula unit: -26.5
Space group: Pnma, No. 62

***

Record 8
Here is a relaxed TbGeAuS3 crystal from OQMD. Energies are from PBE.

```
TbGeAuS3
1.0
3.853 0.000 0.000
-1.927 6.295 0.000
0.000 0.000 10.505
Au Ge S Tb
2 2 6 2
direct
0.468 0.936 0.250
0.532 0.064 0.750
0.765 0.530 0.250
0.235 0.470 0.750
0.352 0.703 0.063
0.107 0.215 0.250
0.352 0.703 0.437
0.648 0.297 0.563
0.893 0.785 0.750
0.648 0.297 0.937
0.000 0.000 0.000
0.000 0.000 0.500
```

Output
Energy in eV per formula unit: -29.5
Space group: Cmcm, No. 63

***

Record 9
Here is a relaxed NdYZnTe3 crystal from OQMD. Energies are from PBE.

```
NdYZnTe3
1.0
-7.778 1.417 0.385
5.948 -4.687 -2.305
-0.483 -5.171 9.268
Nd Te Y Zn
2 6 2 2
direct
0.726 0.274 0.250
0.274 0.726 0.750
0.149 0.851 0.048
0.388 0.612 0.250
0.149 0.851 0.452
0.851 0.149 0.548
0.612 0.388 0.750
0.851 0.149 0.952
0.500 0.500 0.000
0.500 0.500 0.500
0.024 0.976 0.250
0.976 0.024 0.750
```

Output
Energy in eV per formula unit: -27.9
Space group: Cmcm, No. 63

***

Record 10
Here is a relaxed BaHf crystal from OQMD. Energies are from PBE.

```
BaHf
1.0
-1.869 -4.155 1.459
-1.823 -0.387 4.406
-4.727 -0.416 0.605
Ba Hf
1 1
direct
0.000 0.000 0.000
0.500 0.500 0.500
```

Output
Energy in eV per formula unit: -8.5
Space group: Fm-3m, No. 225

***

Record 11
Here is a relaxed ZrAuNO crystal from OQMD. Energies are from PBE.

```
ZrAuNO
1.0
3.572 0.000 0.000
0.000 3.572 0.000
0.000 0.000 8.015
Au N O Zr
2 2 2 2
direct
0.500 0.000 0.500
0.000 0.500 0.500
0.500 0.500 0.251
0.000 0.000 0.749
0.500 0.000 0.000
0.000 0.500 0.000
0.000 0.000 0.159
0.500 0.500 0.841
```

Output
Energy in eV per formula unit: -28.3
Space group: P4/nmm, No. 129

***

Record 12
Here is a relaxed YEr4Tm2Ni2Te2 crystal from OQMD. Energies are from PBE.

```
YEr4Tm2Ni2Te2
1.0
3.584 -8.123 2.672
-9.210 1.050 0.214
8.250 -1.768 -3.845
Er Ni Te Tm Y
4 2 2 2 1
direct
0.027 0.895 0.132
0.099 0.746 0.353
0.393 0.746 0.647
0.763 0.895 0.868
0.644 0.405 0.238
0.167 0.405 0.762
0.141 0.141 0.000
0.742 0.242 0.500
0.412 0.097 0.315
0.782 0.097 0.685
0.477 0.477 0.000
```

Output
Energy in eV per formula unit: -58.7
Space group: Imm2, No. 44

***

Record 13
Here is a relaxed LiPr4Ge4 crystal from OQMD. Energies are from PBE.

```
LiPr4Ge4
1.0
7.490 0.000 0.000
0.000 15.309 0.000
0.000 0.000 8.061
Ge Li Pr
16 4 16
direct
0.657 0.037 0.031
0.657 0.463 0.031
0.014 0.250 0.078
0.728 0.750 0.133
0.228 0.750 0.367
0.514 0.250 0.422
0.157 0.037 0.469
0.157 0.463 0.469
0.843 0.537 0.531
0.843 0.963 0.531
0.486 0.750 0.578
0.772 0.250 0.633
0.272 0.250 0.867
0.986 0.750 0.922
0.343 0.537 0.969
0.343 0.963 0.969
0.343 0.750 0.034
0.843 0.750 0.466
0.157 0.250 0.534
0.657 0.250 0.966
0.324 0.128 0.179
0.324 0.372 0.179
0.025 0.601 0.189
0.025 0.899 0.189
0.525 0.601 0.311
0.525 0.899 0.311
0.824 0.128 0.321
0.824 0.372 0.321
0.176 0.628 0.679
0.176 0.872 0.679
0.475 0.101 0.689
0.475 0.399 0.689
0.975 0.101 0.811
0.975 0.399 0.811
0.676 0.628 0.821
0.676 0.872 0.821
```

Output
Energy in eV per formula unit: -46.6
Space group: Pnma, No. 62

***

Record 14
Here is a relaxed HfTlFe crystal from OQMD. Energies are from PBE.

```
HfTlFe
1.0
-2.739 1.420 3.402
-1.333 4.390 0.195
-4.367 1.115 -0.881
Fe Hf Tl
1 1 1
direct
0.250 0.250 0.250
0.000 0.000 0.000
0.750 0.750 0.750
```

Output
Energy in eV per formula unit: -18.0
Space group: F-43m, No. 216

***

Record 15
Here is a relaxed NbAsPb2O6 crystal from OQMD. Energies are from PBE.

```
NbAsPb2O6
1.0
-1.889 -1.295 5.331
-3.508 4.622 0.030
-0.274 -3.909 -4.279
As Nb O Pb
1 1 6 2
direct
0.000 0.000 0.000
0.500 0.500 0.000
0.257 0.257 0.000
0.743 0.743 0.000
0.312 0.797 0.109
0.797 0.688 0.485
0.203 0.312 0.515
0.688 0.203 0.891
0.750 0.250 0.500
0.250 0.750 0.500
```

Output
Energy in eV per formula unit: -67.1
Space group: I4/m, No. 87

***

Record 16
Here is a relaxed Er2LuAl3AgPt2 crystal from OQMD. Energies are from PBE.

```
Er2LuAl3AgPt2
1.0
-1.026 -1.539 3.388
0.948 -6.695 -2.753
5.578 3.419 3.241
Ag Al Er Lu Pt
1 3 2 1 2
direct
0.000 0.002 0.002
0.500 0.261 0.001
0.500 0.001 0.261
0.500 0.739 0.739
0.000 0.999 0.586
0.000 0.586 0.999
0.000 0.414 0.414
0.500 0.664 0.334
0.500 0.334 0.664
```

Output
Energy in eV per formula unit: -47.8
Space group: Amm2, No. 38

***

Record 17
Here is a relaxed Er2Tl crystal from OQMD. Energies are from PBE.

```
Er2Tl
1.0
0.000 3.619 3.619
3.619 0.000 3.619
3.619 3.619 0.000
Er Tl
2 1
direct
0.250 0.250 0.250
0.750 0.750 0.750
0.000 0.000 0.000
```

Output
Energy in eV per formula unit: -11.6
Space group: Fm-3m, No. 225

***

Record 18
Here is a relaxed PrTeAs crystal from OQMD. Energies are from PBE.

```
PrTeAs
1.0
8.348 0.000 0.000
-4.174 7.230 0.000
0.000 0.000 3.970
As Pr Te
3 3 3
direct
0.667 0.333 0.000
0.333 0.667 0.000
0.000 0.000 0.500
0.614 0.000 0.500
0.386 0.386 0.500
0.000 0.614 0.500
0.278 0.000 0.000
0.000 0.278 0.000
0.722 0.722 0.000
```

Output
Energy in eV per formula unit: -14.9
Space group: P-62m, No. 189

***

Record 19
Here is a relaxed LuTcSn crystal from OQMD. Energies are from PBE.

```
LuTcSn
1.0
0.000 3.260 3.260
3.260 0.000 3.260
3.260 3.260 0.000
Lu Sn Tc
1 1 1
direct
0.250 0.250 0.250
0.750 0.750 0.750
0.000 0.000 0.000
```

Output
Energy in eV per formula unit: -19.0
Space group: F-43m, No. 216

***

Record 20
Here is a relaxed TbErBi2Te2 crystal from OQMD. Energies are from PBE.

```
TbErBi2Te2
1.0
-2.936 -3.009 1.256
2.377 -3.132 -1.948
4.730 -1.320 7.896
Bi Er Tb Te
2 1 1 2
direct
0.500 0.000 0.001
0.000 0.500 0.001
0.000 0.000 0.285
0.500 0.500 0.716
0.500 0.500 0.374
0.000 0.000 0.623
```

Output
Energy in eV per formula unit: -29.4
Space group: P4mm, No. 99